A plane-wave DFT calculation with PBE+U was carried out for an optimized crystal structure of NiCF3.

## Properties
Crystal system ... cubic
DOS at the Fermi energy ... 17.442 states/eV/f.u.
Mass density ... 3.88 g cm⁻³
Energy ... -3.063 eV per atom

a = 3.7941 Å, b = 3.7941 Å, c = 3.7941 Å
α = 90.00°, β = 90.00°, γ = 90.00°
Site moments in Bohr magnetons follow the coordinates.
Fractional positions:
Ni: 0.5000 0.5000 0.5000  1.10
C: 0.0000 0.0000 0.0000  -0.06
F: 0.0000 0.5000 0.0000  0.01
F: 0.0000 0.0000 0.5000  0.00
F: 0.5000 0.0000 0.0000  0.00